Ac2InH | PBE-GGA | optimized geometry

Properties
Polymorph energy (0 for the lowest one) in meV/atom: 407
D(E_F) in states/eV/f.u.: 4.14
Total magnetization in Bohr magnetons per cell: 0.00
Crystal system: trigonal

CIF file:
```
data_Ac2InH
_chemical_formula_sum 'Ac6 In3 H3'
_space_group_name_H-M_alt 'R -3 m'
_space_group_IT_number 166
_space_group_name_Hall '-R 3 2"'
_cell_length_a 3.8398
_cell_length_b 3.8398
_cell_length_c 30.2316
_cell_angle_alpha 90.00
_cell_angle_beta 90.00
_cell_angle_gamma 120.00
loop_
_atom_site_label
_atom_site_type_symbol
_atom_site_fract_x
_atom_site_fract_y
_atom_site_fract_z
Ac1 Ac 0.0000 0.0000 0.1138
In1 In 0.0000 0.0000 0.0000
H1 H 0.0000 0.0000 0.5000
```